[1]
Density functional theory data (GGA-PBE) for a relaxed Tl2HgRh2 crystal.

Computed properties:
The energy of formation from the pure elements comes out at 0.232 eV per atom. As for the electronic total energy: -3.716 eV/atom.

a = 8.0157 Å, b = 8.0157 Å, c = 3.1186 Å
α = 90.00°, β = 90.00°, γ = 90.00°
Closest atoms and distances in Å follow each position.
Atoms (fractional coordinates):
Tl: 0.1555 0.3445 0.0000  6 Rh 2.80-2.83, 2 Hg 3.03, 2 Tl 3.12
Tl: 0.3445 0.8445 0.0000  6 Rh 2.80-2.83, 2 Hg 3.03, 2 Tl 3.12
Tl: 0.6555 0.1555 0.0000  6 Rh 2.80-2.83, 2 Hg 3.03, 2 Tl 3.12
Tl: 0.8445 0.6555 0.0000  6 Rh 2.80-2.83, 2 Hg 3.03, 2 Tl 3.12
Hg: 0.0000 0.0000 0.0000  4 Tl 3.03, 2 Hg 3.12
Hg: 0.5000 0.5000 0.0000  4 Tl 3.03, 2 Hg 3.12
Rh: 0.1392 0.6392 0.5000  6 Tl 2.80-2.83, 2 Rh 3.12
Rh: 0.3608 0.1392 0.5000  6 Tl 2.80-2.83, 2 Rh 3.12
Rh: 0.6392 0.8608 0.5000  6 Tl 2.80-2.83, 2 Rh 3.12
Rh: 0.8608 0.3608 0.5000  6 Tl 2.80-2.83, 2 Rh 3.12

---

[2]
Density functional theory data (GGA-PBE) for a relaxed TlHg2Rh crystal.

Computed properties:
The energy of formation from the pure elements comes out at 0.157 eV per atom. As for the electronic total energy: -2.423 eV/atom.

a = 3.1990 Å, b = 3.1990 Å, c = 8.7406 Å
α = 90.00°, β = 90.00°, γ = 90.00°
Closest atoms and distances in Å follow each position.
Atoms (fractional coordinates):
Tl: 0.0000 0.0000 0.0000  4 Rh 2.87, 4 Tl 3.20
Hg: 0.0000 0.0000 0.5953  4 Rh 2.87, 4 Hg 3.20
Hg: 0.5000 0.5000 0.3106  8 Hg 3.20-3.36, 4 Tl 3.53
Rh: 0.5000 0.5000 0.7974  4 Hg 2.87, 4 Tl 2.87, 4 Rh 3.20

---

[3]
Density functional theory data (GGA-PBE) for a relaxed Tl2HgRh2 crystal.

Computed properties:
The energy of formation from the pure elements comes out at 0.069 eV per atom. As for the electronic total energy: -3.878 eV/atom.

a = 7.2176 Å, b = 7.2176 Å, c = 3.8406 Å
α = 90.00°, β = 90.00°, γ = 90.00°
Closest atoms and distances in Å follow each position.
Atoms (fractional coordinates):
Tl: 0.1585 0.3415 0.0000  6 Rh 2.79-2.90
Tl: 0.3415 0.8415 0.0000  6 Rh 2.79-2.90
Tl: 0.6585 0.1585 0.0000  6 Rh 2.79-2.90
Tl: 0.8415 0.6585 0.0000  6 Rh 2.79-2.90
Hg: 0.0000 0.0000 0.5000  4 Rh 2.78
Hg: 0.5000 0.5000 0.5000  4 Rh 2.78
Rh: 0.1425 0.6425 0.5000  2 Hg 2.78, 6 Tl 2.79-2.90, 1 Rh 2.91
Rh: 0.3575 0.1425 0.5000  2 Hg 2.78, 6 Tl 2.79-2.90, 1 Rh 2.91
Rh: 0.6425 0.8575 0.5000  2 Hg 2.78, 6 Tl 2.79-2.90, 1 Rh 2.91
Rh: 0.8575 0.3575 0.5000  2 Hg 2.78, 6 Tl 2.79-2.90, 1 Rh 2.91

---

[4]
Density functional theory data (GGA-PBE) for a relaxed Tl4Hg2Rh crystal.

Computed properties:
The energy of formation from the pure elements comes out at 0.066 eV per atom. As for the electronic total energy: -2.423 eV/atom.

a = 9.0153 Å, b = 9.0153 Å, c = 9.0153 Å
α = 145.96°, β = 145.96°, γ = 48.90°
Closest atoms and distances in Å follow each position.
Atoms (fractional coordinates):
Tl: 0.0000 0.5000 0.5000  2 Rh 2.64
Tl: 0.1662 0.1662 0.0000  1 Rh 2.73
Tl: 0.5000 0.0000 0.5000  2 Rh 2.64
Tl: 0.8338 0.8338 0.0000  1 Rh 2.73
Hg: 0.3543 0.3543 0.0000  1 Tl 3.09
Hg: 0.6457 0.6457 0.0000  1 Tl 3.09
Rh: 0.0000 0.0000 0.0000  6 Tl 2.64-2.73

---

[5]
Density functional theory data (GGA-PBE) for a relaxed TlHg2Rh crystal.

Computed properties:
The energy of formation from the pure elements comes out at 0.337 eV per atom. As for the electronic total energy: -2.244 eV/atom.

a = 4.9162 Å, b = 4.9162 Å, c = 4.9162 Å
α = 60.00°, β = 60.00°, γ = 60.00°
Closest atoms and distances in Å follow each position.
Atoms (fractional coordinates):
Tl: 0.0000 0.0000 0.0000  4 Hg 3.01, 4 Rh 3.01
Hg: 0.2500 0.2500 0.2500  4 Hg 3.01, 4 Tl 3.01
Hg: 0.5000 0.5000 0.5000  4 Rh 3.01, 4 Hg 3.01
Rh: 0.7500 0.7500 0.7500  4 Hg 3.01, 4 Tl 3.01

---

[6]
Density functional theory data (GGA-PBE) for a relaxed Tm4TlHg2Rh crystal.

Computed properties:
The energy of formation from the pure elements comes out at -0.540 eV per atom. As for the electronic total energy: -4.066 eV/atom.

a = 8.8122 Å, b = 8.8122 Å, c = 8.8122 Å
α = 33.94°, β = 33.94°, γ = 33.94°
Closest atoms and distances in Å follow each position.
Atoms (fractional coordinates):
Tm: 0.1142 0.1142 0.1142  1 Rh 2.84, 3 Hg 3.03
Tm: 0.3679 0.3679 0.3679  4 Hg 3.09-3.27, 3 Rh 3.09, 1 Tl 3.29, 3 Tm 3.43
Tm: 0.6321 0.6321 0.6321  4 Hg 3.09-3.27, 3 Rh 3.09, 1 Tl 3.29, 3 Tm 3.43
Tm: 0.8858 0.8858 0.8858  1 Rh 2.84, 3 Hg 3.03
Tl: 0.5000 0.5000 0.5000  8 Tm 3.24-3.29, 6 Hg 3.54
Hg: 0.2438 0.2438 0.2438  8 Tm 3.03-3.27
Hg: 0.7562 0.7562 0.7562  8 Tm 3.03-3.27
Rh: 0.0000 0.0000 0.0000  8 Tm 2.84-3.09

---

[7]
Density functional theory data (GGA-PBE) for a relaxed Tm5Tl2HgRh2 crystal.

Computed properties:
The energy of formation from the pure elements comes out at -0.552 eV per atom. As for the electronic total energy: -4.762 eV/atom.

a = 11.7408 Å, b = 11.7408 Å, c = 3.5986 Å
α = 90.00°, β = 90.00°, γ = 90.00°
Closest atoms and distances in Å follow each position.
Atoms (fractional coordinates):
Tm: 0.0000 0.5000 0.0000  4 Rh 2.83
Tm: 0.0790 0.2030 0.0000  2 Rh 2.72
Tm: 0.2030 0.9210 0.0000  2 Rh 2.72
Tm: 0.2970 0.4210 0.0000  2 Rh 2.72
Tm: 0.4210 0.7030 0.0000  2 Rh 2.72
Tm: 0.5000 0.0000 0.0000  4 Rh 2.83
Tm: 0.5790 0.2970 0.0000  2 Rh 2.72
Tm: 0.7030 0.5790 0.0000  2 Rh 2.72
Tm: 0.7970 0.0790 0.0000  2 Rh 2.72
Tm: 0.9210 0.7970 0.0000  2 Rh 2.72
Tl: 0.1720 0.6720 0.5000  3 Rh 3.26-3.60, 6 Tm 3.38-3.45, 2 Tl 3.60
Tl: 0.3280 0.1720 0.5000  3 Rh 3.26-3.60, 6 Tm 3.38-3.45, 2 Tl 3.60
Tl: 0.6720 0.8280 0.5000  3 Rh 3.26-3.60, 6 Tm 3.38-3.45, 2 Tl 3.60
Tl: 0.8280 0.3280 0.5000  3 Rh 3.26-3.60, 6 Tm 3.38-3.45, 2 Tl 3.60
Hg: 0.0000 0.0000 0.5000  8 Tm 3.13
Hg: 0.5000 0.5000 0.5000  8 Tm 3.13
Rh: 0.1316 0.3684 0.5000  6 Tm 2.72-2.83
Rh: 0.3684 0.8684 0.5000  6 Tm 2.72-2.83
Rh: 0.6316 0.1316 0.5000  6 Tm 2.72-2.83
Rh: 0.8684 0.6316 0.5000  6 Tm 2.72-2.83

---

[8]
Density functional theory data (GGA-PBE) for a relaxed YTlHgRh crystal.

Computed properties:
The energy of formation from the pure elements comes out at -0.270 eV per atom. As for the electronic total energy: -4.391 eV/atom.

a = 4.9369 Å, b = 4.9369 Å, c = 4.9369 Å
α = 60.00°, β = 60.00°, γ = 60.00°
Closest atoms and distances in Å follow each position.
Atoms (fractional coordinates):
Y: 0.0000 0.0000 0.0000  4 Hg 3.02, 4 Tl 3.02
Tl: 0.2500 0.2500 0.2500  4 Rh 3.02, 4 Y 3.02
Hg: 0.7500 0.7500 0.7500  4 Rh 3.02, 4 Y 3.02
Rh: 0.5000 0.5000 0.5000  4 Hg 3.02, 4 Tl 3.02

---

[9]
Density functional theory data (GGA-PBE) for a relaxed Tl2ZnHgRh crystal.

Computed properties:
The energy of formation from the pure elements comes out at 0.008 eV per atom. As for the electronic total energy: -2.724 eV/atom.

a = 5.3081 Å, b = 5.3081 Å, c = 4.9192 Å
α = 90.00°, β = 90.00°, γ = 90.00°
Closest atoms and distances in Å follow each position.
Atoms (fractional coordinates):
Tl: 0.0000 0.5000 0.0000  2 Rh 2.65
Tl: 0.5000 0.0000 0.0000  2 Rh 2.65
Zn: 0.0000 0.0000 0.5000  2 Rh 2.46
Hg: 0.5000 0.5000 0.5000  8 Tl 3.62, 4 Zn 3.75
Rh: 0.0000 0.0000 0.0000  2 Zn 2.46, 4 Tl 2.65

---

[10]
Density functional theory data (GGA-PBE) for a relaxed Tm3HgRh crystal.

Computed properties:
The energy of formation from the pure elements comes out at -0.548 eV per atom. As for the electronic total energy: -4.762 eV/atom.

a = 4.5371 Å, b = 6.7692 Å, c = 8.3539 Å
α = 90.00°, β = 90.00°, γ = 90.00°
Closest atoms and distances in Å follow each position.
Atoms (fractional coordinates):
Tm: 0.2500 0.0012 0.1578  3 Rh 2.81-2.85
Tm: 0.2500 0.4988 0.1578  3 Rh 2.81-2.85
Tm: 0.2500 0.7500 0.5617  1 Rh 2.74, 2 Hg 3.02
Tm: 0.7500 0.2500 0.4383  1 Rh 2.74, 2 Hg 3.02
Tm: 0.7500 0.5012 0.8422  3 Rh 2.81-2.85
Tm: 0.7500 0.9988 0.8422  3 Rh 2.81-2.85
Hg: 0.2500 0.2500 0.6767  6 Tm 3.02-3.15
Hg: 0.7500 0.7500 0.3233  6 Tm 3.02-3.15
Rh: 0.2500 0.7500 0.8897  7 Tm 2.74-2.85
Rh: 0.7500 0.2500 0.1103  7 Tm 2.74-2.85

---

[11]
Density functional theory data (GGA-PBE) for a relaxed Tm7Hg2Rh2 crystal.

Computed properties:
The energy of formation from the pure elements comes out at -0.435 eV per atom. As for the electronic total energy: -4.672 eV/atom.

a = 6.6576 Å, b = 6.6576 Å, c = 7.0359 Å
α = 90.00°, β = 90.00°, γ = 107.28°
Closest atoms and distances in Å follow each position.
Atoms (fractional coordinates):
Tm: 0.0000 0.0000 0.0000  2 Rh 3.09
Tm: 0.0000 0.5000 0.2520  2 Rh 2.69
Tm: 0.0000 0.5000 0.7480  2 Rh 2.69
Tm: 0.5000 0.0000 0.2520  2 Rh 2.69
Tm: 0.5000 0.0000 0.7480  2 Rh 2.69
Tm: 0.5000 0.5000 0.2444  2 Rh 2.85, 2 Hg 3.06
Tm: 0.5000 0.5000 0.7556  2 Rh 2.85, 2 Hg 3.06
Hg: 0.1864 0.1864 0.5000  1 Hg 2.94, 6 Tm 3.06-3.24
Hg: 0.8136 0.8136 0.5000  1 Hg 2.94, 6 Tm 3.06-3.24
Rh: 0.2886 0.7114 0.0000  6 Tm 2.69-2.85
Rh: 0.7114 0.2886 0.0000  6 Tm 2.69-2.85

---

- Among the records above, which one has the highest energy of formation from the pure elements?
  number 5

---

- Among the records above, which one has the highest energy of formation from the pure elements?
  number 5